*one*
Ag2Sn4Au | PBE-GGA | relaxed

Cell: 5.4715 5.4715 7.8296 Å, 69.55 69.55 90.00°
Sites, in units of the cell vectors:
Sn (0.5000, 0.0000, 0.0000)
Sn (0.2008, 0.2008, 0.5984)
Sn (0.7992, 0.7992, 0.4016)
Sn (0.0000, 0.5000, 0.0000)
Ag (0.3981, 0.3981, 0.2038)
Ag (0.6019, 0.6019, 0.7962)
Au (0.0000, 0.0000, 0.0000)

## Properties
Symmetry: I4/mmm
N(E_F) (states/eV per cell): 4.4
Theoretical density (g/cm3): 7.2

*two*
Ag2Sn4Au | PBE-GGA | relaxed

Cell: 4.5287 5.8667 7.0315 Å, 106.68 108.79 90.00°
Sites, in units of the cell vectors:
Sn (0.8263, 0.1837, 0.6526)
Sn (0.1737, 0.8163, 0.3474)
Sn (0.4407, 0.6843, 0.8814)
Sn (0.5593, 0.3157, 0.1186)
Ag (0.2189, 0.3365, 0.4377)
Ag (0.7811, 0.6635, 0.5623)
Au (0.0000, 0.0000, 0.0000)

## Properties
Symmetry: C2/m
N(E_F) (states/eV per cell): 2.6
Theoretical density (g/cm3): 8.7

Which of them is most stable, and which least? Most stable: *two*; least stable: *one*.

*one*
Sr3AgAu | PBE-GGA | relaxed

Cell: 5.9923 5.9923 5.9923 Å, 90.00 90.00 90.00°
Sites, in units of the cell vectors:
Sr (0.0000, 0.5000, 0.0000)
Sr (0.0000, 0.0000, 0.5000)
Sr (0.5000, 0.0000, 0.0000)
Au (0.0000, 0.0000, 0.0000)
Ag (0.5000, 0.5000, 0.5000)

## Properties
Symmetry: Pm-3m
N(E_F) (states/eV per cell): 2.6
Theoretical density (g/cm3): 4.4

*two*
Sr3AgAu | PBE-GGA | relaxed

Cell: 4.6400 8.5907 9.3154 Å, 107.90 90.00 90.00°
Sites, in units of the cell vectors:
Sr (0.7500, 0.0818, 0.2436)
Sr (0.2500, 0.3466, 0.5949)
Sr (0.2500, 0.9182, 0.7564)
Sr (0.7500, 0.3124, 0.9395)
Sr (0.7500, 0.6534, 0.4051)
Sr (0.2500, 0.6876, 0.0605)
Au (0.7500, 0.0721, 0.5986)
Au (0.2500, 0.9279, 0.4014)
Ag (0.2500, 0.3646, 0.2106)
Ag (0.7500, 0.6354, 0.7894)

## Properties
Symmetry: P2_1/m
N(E_F) (states/eV per cell): 6.5
Theoretical density (g/cm3): 5.3

Which of them is most stable, and which least? Most stable: *two*; least stable: *one*.